Entry 1:
Zr4Sc2Pa after structural relaxation, computed with PBE.

The structure in POSCAR format:
```
Zr4Sc2Pa
1.0
3.228 0.000 0.000
-1.614 2.791 -0.231
0.000 -0.275 18.524
Zr Sc Pa
4 2 1
direct
0.000 0.999 0.237 Zr
0.906 0.812 0.955 Zr
0.526 0.052 0.814 Zr
0.427 0.854 0.522 Zr
0.622 0.244 0.096 Sc
0.715 0.429 0.377 Sc
0.806 0.612 0.667 Pa
```

Calculated values
- E_form: 0.017 eV per atom
- Crystal system: monoclinic
- E_tot: -0.2952 hartree per atom
- Magnetization: 0.000 μB per formula unit
- Space group: Cm

=====

Entry 2:
Zr4ScPa after structural relaxation, computed with PBE.

The structure in POSCAR format:
```
Zr4ScPa
1.0
-1.259 -3.819 3.207
4.109 2.180 4.210
-6.344 5.081 3.560
Zr Sc Pa
8 2 2
direct
0.500 0.000 0.168 Zr
0.500 0.500 0.832 Zr
0.500 0.500 0.168 Zr
0.500 0.000 0.832 Zr
0.000 0.500 0.335 Zr
0.000 0.500 0.665 Zr
0.000 0.000 0.665 Zr
0.000 0.000 0.335 Zr
0.500 0.250 0.500 Sc
0.500 0.750 0.500 Sc
0.000 0.750 0.000 Pa
0.000 0.250 0.000 Pa
```

Calculated values
- E_form: 0.053 eV per atom
- Crystal system: orthorhombic
- E_tot: -0.3044 hartree per atom
- Magnetization: 0.000 μB per formula unit
- Space group: Pmmm

=====

Entry 3:
ZrScPa after structural relaxation, computed with PBE.

The structure in POSCAR format:
```
ZrScPa
1.0
3.159 0.000 0.000
0.000 5.114 0.000
0.000 -2.557 4.429
Zr Pa Sc
1 1 1
direct
0.166 0.000 0.000 Zr
0.167 0.333 0.667 Pa
0.667 0.667 0.333 Sc
```

Calculated values
- E_form: 0.081 eV per atom
- Crystal system: hexagonal
- ΔE to the lowest computed polymorph: 0 meV/atom
- E_tot: -0.2956 hartree per atom
- Magnetization: 0.028 μB per formula unit
- Space group: P-6m2

=====

Entry 4:
Zr7ScPa2 after structural relaxation, computed with PBE.

The structure in POSCAR format:
```
Zr7ScPa2
1.0
5.984 0.900 5.239
-7.720 0.916 1.905
-0.308 -5.181 1.242
Zr Sc Pa
7 1 2
direct
0.082 0.289 0.500 Zr
0.711 0.918 0.500 Zr
0.703 0.297 0.000 Zr
0.297 0.703 0.000 Zr
0.500 0.500 0.500 Zr
0.289 0.082 0.500 Zr
0.918 0.711 0.500 Zr
0.000 0.000 0.000 Sc
0.719 0.281 0.500 Pa
0.281 0.719 0.500 Pa
```

Calculated values
- E_form: 0.895 eV per atom
- Crystal system: orthorhombic
- E_tot: -0.2801 hartree per atom
- Magnetization: 0.000 μB per formula unit
- Space group: Cmmm

=====

Entry 5:
ZrSc14Pa after structural relaxation, computed with PBE.

The structure in POSCAR format:
```
ZrSc14Pa
1.0
-5.029 -1.794 -3.884
2.873 -4.380 4.020
-6.694 2.503 7.512
Sc Zr Pa
14 1 1
direct
0.165 0.333 0.250 Sc
0.668 0.332 0.252 Sc
0.169 0.831 0.751 Sc
0.169 0.831 0.249 Sc
0.667 0.835 0.250 Sc
0.333 0.171 0.000 Sc
0.667 0.835 0.750 Sc
0.832 0.168 0.500 Sc
0.829 0.667 0.000 Sc
0.668 0.332 0.748 Sc
0.332 0.668 0.500 Sc
0.165 0.333 0.750 Sc
0.834 0.668 0.500 Sc
0.332 0.166 0.500 Sc
0.337 0.663 0.000 Zr
0.833 0.167 0.000 Pa
```

Calculated values
- E_form: 0.025 eV per atom
- Crystal system: orthorhombic
- E_tot: -0.2441 hartree per atom
- Magnetization: 0.525 μB per formula unit
- Space group: Amm2

=====

Entry 6:
Zr6ScPa2 after structural relaxation, computed with PBE.

The structure in POSCAR format:
```
Zr6ScPa2
1.0
-5.395 2.631 -0.653
-1.194 -6.024 -6.042
-1.932 -4.242 7.245
Pa Zr Sc
4 12 2
direct
0.882 0.606 0.641 Pa
0.118 0.394 0.359 Pa
0.382 0.641 0.606 Pa
0.618 0.359 0.394 Pa
0.803 0.046 0.249 Zr
0.280 0.063 0.443 Zr
0.992 0.263 0.678 Zr
0.008 0.737 0.322 Zr
0.197 0.954 0.751 Zr
0.303 0.249 0.046 Zr
0.697 0.751 0.954 Zr
0.508 0.322 0.737 Zr
0.220 0.557 0.937 Zr
0.492 0.678 0.263 Zr
0.720 0.937 0.557 Zr
0.780 0.443 0.063 Zr
0.250 0.909 0.091 Sc
0.750 0.091 0.909 Sc
```

Calculated values
- E_form: 0.150 eV per atom
- Crystal system: monoclinic
- E_tot: -0.3073 hartree per atom
- Magnetization: 0.000 μB per formula unit
- Space group: C2/c

=====

Entry 7:
Zr2Sc6Pa after structural relaxation, computed with PBE.

The structure in POSCAR format:
```
Zr2Sc6Pa
1.0
-2.168 -0.833 -5.424
7.445 -3.504 -2.684
-2.865 -7.889 2.111
Sc Zr Pa
12 4 2
direct
0.078 0.470 0.332 Sc
0.104 0.189 0.600 Sc
0.378 0.960 0.315 Sc
0.878 0.315 0.960 Sc
0.604 0.600 0.189 Sc
0.896 0.811 0.400 Sc
0.422 0.668 0.530 Sc
0.578 0.332 0.470 Sc
0.922 0.530 0.668 Sc
0.122 0.685 0.040 Sc
0.396 0.400 0.811 Sc
0.622 0.040 0.685 Sc
0.437 0.274 0.150 Zr
0.937 0.150 0.274 Zr
0.063 0.850 0.726 Zr
0.563 0.726 0.850 Zr
0.750 0.947 0.053 Pa
0.250 0.053 0.947 Pa
```

Calculated values
- E_form: 0.120 eV per atom
- Crystal system: monoclinic
- E_tot: -0.2593 hartree per atom
- Magnetization: 0.000 μB per formula unit
- Space group: C2/c

=====

Entry 8:
Zr2ScPa after structural relaxation, computed with PBE.

The structure in POSCAR format:
```
Zr2ScPa
1.0
3.208 0.000 0.000
1.604 2.779 0.000
1.604 0.926 10.739
Pa Zr Sc
1 2 1
direct
0.500 0.500 0.501 Pa
0.083 0.083 0.751 Zr
0.250 0.250 0.249 Zr
0.667 0.667 0.999 Sc
```

Calculated values
- E_form: 0.042 eV per atom
- Crystal system: trigonal
- ΔE to the lowest computed polymorph: 0 meV/atom
- E_tot: -0.3009 hartree per atom
- Magnetization: 0.000 μB per formula unit
- Space group: R3m